# 1
Cs2Sm2Te2Se (PBE, relaxed); total magnetization = 0.831 μB/f.u.; uncorrected energy = -4.1726 eV per atom; density = 5.08 Mg/m³
1.0
-4.8956 -1.0943 -2.3869
1.9280 -4.9263 -1.6960
-1.5769 -0.9782 10.1474
Cs Sm Te Se
2 2 2 1
direct
0.8152 0.8152 0.6304
0.1848 0.1848 0.3696
0.0000 0.5000 0.0000
0.5000 0.0000 0.0000
0.6042 0.6042 0.2085
0.3958 0.3958 0.7915
0.0000 0.0000 0.0000

***

# 2
SmTh3Os8 (PBE, relaxed); total magnetization = 0.000 μB/f.u.; formation enthalpy at 0 K = -0.233 eV/atom; density = 17.19 Mg/m³
1.0
5.2132 0.0000 1.5737
2.3691 4.6438 1.5737
-0.0075 -0.0046 9.4465
Os Th Sm
8 3 1
direct
0.4377 0.4377 0.1890
0.9378 0.9378 0.6862
0.9356 0.4377 0.1890
0.6878 0.6878 0.9366
0.9378 0.4383 0.6862
0.4377 0.9356 0.1890
0.4383 0.9378 0.6862
0.1881 0.1881 0.4358
0.3747 0.3747 0.8758
0.9991 0.9991 0.0027
0.5005 0.5005 0.4986
0.8750 0.8750 0.3750

***

# 3
LiInGa2H (PBE, relaxed); total magnetization = 0.000 μB/f.u.; uncorrected energy = -2.8075 eV per atom; density = 5.32 Mg/m³
1.0
4.5270 0.0000 0.0000
0.0000 4.5270 0.0000
0.0000 0.0000 3.9900
Ga Li In H
2 1 1 1
direct
0.0000 0.5000 0.0000
0.5000 0.0000 0.0000
0.0000 0.0000 0.5000
0.5000 0.5000 0.5000
0.0000 0.0000 0.0000

***

# 4
Ti4VGe (PBE, relaxed); total magnetization = 0.004 μB/f.u.; formation enthalpy at 0 K = 0.194 eV/atom; density = 4.73 Mg/m³
1.0
-2.0901 -3.6652 -0.6022
1.8199 -0.4079 -3.8334
4.6260 -3.0565 2.5088
Ti V Ge
4 1 1
direct
0.0016 0.4978 0.7306
0.5015 0.9979 0.7306
0.0010 0.4969 0.2656
0.5011 0.9967 0.2655
0.0013 0.9973 0.4982
0.5013 0.4972 0.9982

***

# 5
CsNaMoS4 (PBE, relaxed); total magnetization = 0.000 μB/f.u.; uncorrected energy = -5.1179 eV per atom; density = 2.89 Mg/m³
1.0
-4.6726 4.7822 -0.7083
0.0928 -0.9556 -7.0641
-4.4960 -8.4012 1.0775
Mo S Cs Na
2 8 2 2
direct
0.2072 0.7500 0.3254
0.7928 0.2500 0.6746
0.9999 0.0020 0.7162
0.5981 0.2500 0.8236
0.5990 0.2500 0.4452
0.0001 0.9980 0.2838
0.9999 0.4980 0.7162
0.0001 0.5020 0.2838
0.4019 0.7500 0.1764
0.4010 0.7500 0.5548
0.7193 0.7500 0.9266
0.2807 0.2500 0.0734
0.7729 0.7500 0.4559
0.2271 0.2500 0.5441

***

# 6
Pr3Sm3Y5 (PBE, relaxed); polymorph energy (0 for the lowest one) = 0.0295 eV/atom; total magnetization = 0.000 μB/f.u.; formation enthalpy at 0 K = 0.772 eV/atom; density = 4.84 Mg/m³
1.0
-3.1479 0.4163 4.5161
6.9427 -4.3427 5.2397
-0.0527 9.6773 -0.9288
Y Sm Pr
5 3 3
direct
0.5000 0.2644 0.2644
0.5000 0.7356 0.0000
0.5000 0.6667 0.3333
0.5000 0.0000 0.7356
0.5000 0.3333 0.6667
0.0000 0.0000 0.5270
0.0000 0.4730 0.4730
0.0000 0.5270 0.0000
0.5000 0.6319 0.6319
0.5000 0.3681 0.0000
0.5000 0.0000 0.3681

***

Look up the total magnetization of the second one. 0.000 μB/f.u.

***

Among the records above, which one has the lowest density? CsNaMoS4